No. 1
VASP calculation (PBE) on a relaxed Hf3ScH crystal.

abc: 4.5073 4.5073 4.5073
angles: 90.00 90.00 90.00
Sites, in units of the cell vectors:
Hf 0.0000 0.0000 0.5000
Hf 0.0000 0.5000 0.0000
Hf 0.5000 0.0000 0.0000
Sc 0.5000 0.5000 0.5000
H 0.0000 0.0000 0.0000

Summary:
DOS(E_F) ... 8.56 states/eV/cell
Energy above the most stable polymorph in this dataset ... 0.0 kJ per mole of atoms


No. 2
VASP calculation (PBE) on a relaxed HfScH crystal.

abc: 3.2605 3.2605 5.0873
angles: 90.00 90.00 120.00
Sites, in units of the cell vectors:
Hf 0.0000 0.0000 0.0000
Sc 0.3333 0.6667 0.5031
H 0.6667 0.3333 0.2309

Summary:
DOS(E_F) ... 1.33 states/eV/cell
Energy above the most stable polymorph in this dataset ... 2.5 kJ per mole of atoms


No. 3
VASP calculation (PBE) on a relaxed HfSc3H8 crystal.

abc: 4.7314 4.7314 4.7314
angles: 90.00 90.00 90.00
Sites, in units of the cell vectors:
Hf 0.0000 0.0000 0.0000
Sc 0.0000 0.5000 0.5000
Sc 0.5000 0.0000 0.5000
Sc 0.5000 0.5000 0.0000
H 0.2473 0.2473 0.2473
H 0.2473 0.2473 0.7527
H 0.2473 0.7527 0.2473
H 0.2473 0.7527 0.7527
H 0.7527 0.2473 0.2473
H 0.7527 0.2473 0.7527
H 0.7527 0.7527 0.2473
H 0.7527 0.7527 0.7527

Summary:
E_tot ... -5.31 eV per atom
DOS(E_F) ... 2.54 states/eV/cell


No. 4
VASP calculation (PBE) on a relaxed HfScH2 crystal.

abc: 3.2011 3.2011 15.7581
angles: 90.00 90.00 120.00
Sites, in units of the cell vectors:
Hf 0.0000 0.0000 0.0000
Hf 0.3333 0.6667 0.6667
Hf 0.6667 0.3333 0.3333
Sc 0.0000 0.0000 0.5000
Sc 0.3333 0.6667 0.1667
Sc 0.6667 0.3333 0.8333
H 0.0000 0.0000 0.2596
H 0.0000 0.0000 0.7404
H 0.3333 0.6667 0.4071
H 0.3333 0.6667 0.9263
H 0.6667 0.3333 0.0737
H 0.6667 0.3333 0.5929

Summary:
DOS(E_F) ... 11.56 states/eV/cell
Energy above the most stable polymorph in this dataset ... 5.7 kJ per mole of atoms


No. 5
VASP calculation (PBE) on a relaxed Hf5Sc3H12 crystal.

abc: 10.2329 10.2329 10.2329
angles: 109.47 109.47 109.47
Sites, in units of the cell vectors:
Hf 0.0000 0.0000 0.0000
Hf 0.0000 0.0000 0.5000
Hf 0.0000 0.5000 0.0000
Hf 0.0000 0.5000 0.5000
Hf 0.1250 0.7500 0.8750
Hf 0.1250 0.8750 0.2500
Hf 0.2500 0.1250 0.8750
Hf 0.2500 0.6250 0.3750
Hf 0.3750 0.2500 0.6250
Hf 0.3750 0.6250 0.7500
Hf 0.5000 0.0000 0.0000
Hf 0.5000 0.0000 0.5000
Hf 0.5000 0.5000 0.0000
Hf 0.5000 0.5000 0.5000
Hf 0.6250 0.3750 0.2500
Hf 0.6250 0.7500 0.3750
Hf 0.7500 0.3750 0.6250
Hf 0.7500 0.8750 0.1250
Hf 0.8750 0.1250 0.7500
Hf 0.8750 0.2500 0.1250
Sc 0.1250 0.2500 0.3750
Sc 0.1250 0.3750 0.7500
Sc 0.2500 0.3750 0.1250
Sc 0.2500 0.8750 0.6250
Sc 0.3750 0.1250 0.2500
Sc 0.3750 0.7500 0.1250
Sc 0.6250 0.2500 0.8750
Sc 0.6250 0.8750 0.7500
Sc 0.7500 0.1250 0.3750
Sc 0.7500 0.6250 0.8750
Sc 0.8750 0.6250 0.2500
Sc 0.8750 0.7500 0.6250
H 0.0648 0.2231 0.1524
H 0.0648 0.3417 0.9124
H 0.0707 0.7231 0.6583
H 0.0707 0.8476 0.4124
H 0.0876 0.6524 0.4293
H 0.0876 0.9352 0.6583
H 0.1524 0.0648 0.2231
H 0.1524 0.5876 0.9293
H 0.1583 0.2231 0.5707
H 0.1583 0.4352 0.5876
H 0.2231 0.1524 0.0648
H 0.2231 0.5707 0.1583
H 0.2769 0.3417 0.9293
H 0.2769 0.4352 0.3476
H 0.3417 0.9124 0.0648
H 0.3417 0.9293 0.2769
H 0.3476 0.2769 0.4352
H 0.3476 0.5707 0.9124
H 0.4124 0.0707 0.8476
H 0.4124 0.8417 0.5648
H 0.4293 0.0876 0.6524
H 0.4293 0.8417 0.7769
H 0.4352 0.3476 0.2769
H 0.4352 0.5876 0.1583
H 0.5648 0.4124 0.8417
H 0.5648 0.6524 0.7231
H 0.5707 0.1583 0.2231
H 0.5707 0.9124 0.3476
H 0.5876 0.1583 0.4352
H 0.5876 0.9293 0.1524
H 0.6524 0.4293 0.0876
H 0.6524 0.7231 0.5648
H 0.6583 0.0707 0.7231
H 0.6583 0.0876 0.9352
H 0.7231 0.5648 0.6524
H 0.7231 0.6583 0.0707
H 0.7769 0.4293 0.8417
H 0.7769 0.8476 0.9352
H 0.8417 0.5648 0.4124
H 0.8417 0.7769 0.4293
H 0.8476 0.4124 0.0707
H 0.8476 0.9352 0.7769
H 0.9124 0.0648 0.3417
H 0.9124 0.3476 0.5707
H 0.9293 0.1524 0.5876
H 0.9293 0.2769 0.3417
H 0.9352 0.6583 0.0876
H 0.9352 0.7769 0.8476

Summary:
E_tot ... -5.90 eV per atom
DOS(E_F) ... 16.62 states/eV/cell


No. 6
VASP calculation (PBE) on a relaxed HfSc2H crystal.

abc: 3.2490 3.2490 23.0095
angles: 90.00 90.00 120.00
Sites, in units of the cell vectors:
Hf 0.0000 0.0000 0.0000
Hf 0.3333 0.6667 0.6667
Hf 0.6667 0.3333 0.3333
Sc 0.0000 0.0000 0.2234
Sc 0.0000 0.0000 0.7766
Sc 0.3333 0.6667 0.4433
Sc 0.3333 0.6667 0.8901
Sc 0.6667 0.3333 0.1099
Sc 0.6667 0.3333 0.5567
H 0.0000 0.0000 0.5000
H 0.3333 0.6667 0.1667
H 0.6667 0.3333 0.8333

Summary:
DOS(E_F) ... 13.77 states/eV/cell
Energy above the most stable polymorph in this dataset ... 0.0 kJ per mole of atoms


No. 7
VASP calculation (PBE) on a relaxed HfScH2 crystal.

abc: 4.7559 4.7559 9.1207
angles: 90.00 90.00 90.00
Sites, in units of the cell vectors:
Hf 0.0000 0.0000 0.0000
Hf 0.0000 0.5000 0.2500
Hf 0.5000 0.0000 0.7500
Hf 0.5000 0.5000 0.5000
Sc 0.0000 0.0000 0.5000
Sc 0.0000 0.5000 0.7500
Sc 0.5000 0.0000 0.2500
Sc 0.5000 0.5000 0.0000
H 0.2428 0.2500 0.1250
H 0.2500 0.7428 0.3750
H 0.2500 0.7572 0.8750
H 0.2572 0.2500 0.6250
H 0.7428 0.7500 0.6250
H 0.7500 0.2428 0.8750
H 0.7500 0.2572 0.3750
H 0.7572 0.7500 0.1250

Summary:
DOS(E_F) ... 14.08 states/eV/cell
Energy above the most stable polymorph in this dataset ... 0.0 kJ per mole of atoms


No. 8
VASP calculation (PBE) on a relaxed HfScH crystal.

abc: 6.3113 3.0436 10.6777
angles: 90.00 90.00 90.00
Sites, in units of the cell vectors:
Hf 0.1186 0.2500 0.0984
Hf 0.3814 0.7500 0.5984
Hf 0.6186 0.2500 0.4016
Hf 0.8814 0.7500 0.9016
Sc 0.1299 0.2500 0.3889
Sc 0.3701 0.7500 0.8889
Sc 0.6299 0.2500 0.1111
Sc 0.8701 0.7500 0.6111
H 0.1237 0.7500 0.2416
H 0.3763 0.2500 0.7416
H 0.6237 0.7500 0.2584
H 0.8763 0.2500 0.7584

Summary:
DOS(E_F) ... 10.56 states/eV/cell
Energy above the most stable polymorph in this dataset ... 23.7 kJ per mole of atoms


No. 9
VASP calculation (PBE) on a relaxed HfSc2H crystal.

abc: 6.4187 6.4187 7.0604
angles: 90.00 90.00 90.00
Sites, in units of the cell vectors:
Hf 0.0000 0.0000 0.0000
Hf 0.0000 0.5000 0.2500
Hf 0.5000 0.0000 0.7500
Hf 0.5000 0.5000 0.5000
Sc 0.1138 0.2500 0.6250
Sc 0.2500 0.6138 0.8750
Sc 0.2500 0.8862 0.3750
Sc 0.3862 0.2500 0.1250
Sc 0.6138 0.7500 0.1250
Sc 0.7500 0.1138 0.3750
Sc 0.7500 0.3862 0.8750
Sc 0.8862 0.7500 0.6250
H 0.0000 0.0000 0.5000
H 0.0000 0.5000 0.7500
H 0.5000 0.0000 0.2500
H 0.5000 0.5000 0.0000

Summary:
DOS(E_F) ... 12.91 states/eV/cell
Energy above the most stable polymorph in this dataset ... 14.6 kJ per mole of atoms


No. 10
VASP calculation (PBE) on a relaxed Hf3Sc5H12 crystal.

abc: 10.2514 10.2514 10.2514
angles: 109.47 109.47 109.47
Sites, in units of the cell vectors:
Hf 0.1250 0.2500 0.3750
Hf 0.1250 0.3750 0.7500
Hf 0.2500 0.3750 0.1250
Hf 0.2500 0.8750 0.6250
Hf 0.3750 0.1250 0.2500
Hf 0.3750 0.7500 0.1250
Hf 0.6250 0.2500 0.8750
Hf 0.6250 0.8750 0.7500
Hf 0.7500 0.1250 0.3750
Hf 0.7500 0.6250 0.8750
Hf 0.8750 0.6250 0.2500
Hf 0.8750 0.7500 0.6250
Sc 0.0000 0.0000 0.0000
Sc 0.0000 0.0000 0.5000
Sc 0.0000 0.5000 0.0000
Sc 0.0000 0.5000 0.5000
Sc 0.1250 0.7500 0.8750
Sc 0.1250 0.8750 0.2500
Sc 0.2500 0.1250 0.8750
Sc 0.2500 0.6250 0.3750
Sc 0.3750 0.2500 0.6250
Sc 0.3750 0.6250 0.7500
Sc 0.5000 0.0000 0.0000
Sc 0.5000 0.0000 0.5000
Sc 0.5000 0.5000 0.0000
Sc 0.5000 0.5000 0.5000
Sc 0.6250 0.3750 0.2500
Sc 0.6250 0.7500 0.3750
Sc 0.7500 0.3750 0.6250
Sc 0.7500 0.8750 0.1250
Sc 0.8750 0.1250 0.7500
Sc 0.8750 0.2500 0.1250
H 0.0682 0.2261 0.1531
H 0.0682 0.3421 0.9151
H 0.0730 0.7261 0.6579
H 0.0730 0.8469 0.4151
H 0.0849 0.6531 0.4270
H 0.0849 0.9318 0.6579
H 0.1531 0.0682 0.2261
H 0.1531 0.5849 0.9270
H 0.1579 0.2261 0.5730
H 0.1579 0.4318 0.5849
H 0.2261 0.1531 0.0682
H 0.2261 0.5730 0.1579
H 0.2739 0.3421 0.9270
H 0.2739 0.4318 0.3469
H 0.3421 0.9151 0.0682
H 0.3421 0.9270 0.2739
H 0.3469 0.2739 0.4318
H 0.3469 0.5730 0.9151
H 0.4151 0.0730 0.8469
H 0.4151 0.8421 0.5682
H 0.4270 0.0849 0.6531
H 0.4270 0.8421 0.7739
H 0.4318 0.3469 0.2739
H 0.4318 0.5849 0.1579
H 0.5682 0.4151 0.8421
H 0.5682 0.6531 0.7261
H 0.5730 0.1579 0.2261
H 0.5730 0.9151 0.3469
H 0.5849 0.1579 0.4318
H 0.5849 0.9270 0.1531
H 0.6531 0.4270 0.0849
H 0.6531 0.7261 0.5682
H 0.6579 0.0730 0.7261
H 0.6579 0.0849 0.9318
H 0.7261 0.5682 0.6531
H 0.7261 0.6579 0.0730
H 0.7739 0.4270 0.8421
H 0.7739 0.8469 0.9318
H 0.8421 0.5682 0.4151
H 0.8421 0.7739 0.4270
H 0.8469 0.4151 0.0730
H 0.8469 0.9318 0.7739
H 0.9151 0.0682 0.3421
H 0.9151 0.3469 0.5730
H 0.9270 0.1531 0.5849
H 0.9270 0.2739 0.3421
H 0.9318 0.6579 0.0849
H 0.9318 0.7739 0.8469

Summary:
E_tot ... -5.54 eV per atom
DOS(E_F) ... 47.66 states/eV/cell


No. 11
VASP calculation (PBE) on a relaxed Hf2ScH2 crystal.

abc: 3.7676 3.7676 10.2914
angles: 90.00 90.00 90.00
Sites, in units of the cell vectors:
Hf 0.0000 0.0000 0.1666
Hf 0.0000 0.0000 0.8334
Hf 0.5000 0.5000 0.3334
Hf 0.5000 0.5000 0.6666
Sc 0.0000 0.0000 0.5000
Sc 0.5000 0.5000 0.0000
H 0.0000 0.5000 0.2500
H 0.0000 0.5000 0.7500
H 0.5000 0.0000 0.2500
H 0.5000 0.0000 0.7500

Summary:
DOS(E_F) ... 11.67 states/eV/cell
Energy above the most stable polymorph in this dataset ... 0.0 kJ per mole of atoms


No. 12
VASP calculation (PBE) on a relaxed HfSc2H crystal.

abc: 6.8247 6.8247 6.8247
angles: 90.00 90.00 90.00
Sites, in units of the cell vectors:
Hf 0.0000 0.0000 0.0000
Hf 0.0000 0.5000 0.5000
Hf 0.5000 0.0000 0.5000
Hf 0.5000 0.5000 0.0000
Sc 0.2500 0.2500 0.2500
Sc 0.2500 0.2500 0.7500
Sc 0.2500 0.7500 0.2500
Sc 0.2500 0.7500 0.7500
Sc 0.7500 0.2500 0.2500
Sc 0.7500 0.2500 0.7500
Sc 0.7500 0.7500 0.2500
Sc 0.7500 0.7500 0.7500
H 0.0000 0.0000 0.5000
H 0.0000 0.5000 0.0000
H 0.5000 0.0000 0.0000
H 0.5000 0.5000 0.5000

Summary:
DOS(E_F) ... 17.81 states/eV/cell
Energy above the most stable polymorph in this dataset ... 99.5 kJ per mole of atoms


Look up the DOS(E_F) of the third one. 2.54 states/eV/cell